ErPaCoCu, relaxed, DFT PBE; total moment = 0.0 μB per cell; space group = F-43m (216); total energy = -25.49 eV for the cell shown; energy of formation from the pure elements = -0.056 eV/atom
1.0
-2.049 -1.749 3.939
-2.776 -3.873 -0.272
1.500 -4.144 1.831
Er Cu Pa Co
1 1 1 1
direct
0.250 0.250 0.250
0.500 0.500 0.500
0.750 0.750 0.750
0.000 0.000 0.000